# 1
U2PaSe6 | GGA-PBE | optimized geometry

Geometry as CIF:
```
data_U2PaSe6
_chemical_formula_sum 'U4 Pa2 Se12'
_cell_length_a 6.872
_cell_length_b 7.185
_cell_length_c 11.454
_cell_angle_alpha 90.00
_cell_angle_beta 117.45
_cell_angle_gamma 90.00
_symmetry_space_group_name_H-M 'P 1'
_symmetry_Int_Tables_number 1
_symmetry_space_group_name_Hall 'P 1'
loop_
_atom_site_label
_atom_site_type_symbol
_atom_site_fract_x
_atom_site_fract_y
_atom_site_fract_z
_atom_site_occupancy
U1 U 0.166 0.109 0.222 1
U2 U 0.166 0.391 0.722 1
U3 U 0.834 0.609 0.278 1
U4 U 0.834 0.891 0.778 1
Pa1 Pa 0.500 0.000 0.000 1
Pa2 Pa 0.500 0.500 0.500 1
Se1 Se 0.114 0.192 0.939 1
Se2 Se 0.114 0.308 0.439 1
Se3 Se 0.234 0.680 0.912 1
Se4 Se 0.234 0.820 0.412 1
Se5 Se 0.439 0.075 0.750 1
Se6 Se 0.439 0.425 0.250 1
Se7 Se 0.561 0.575 0.750 1
Se8 Se 0.561 0.925 0.250 1
Se9 Se 0.766 0.180 0.588 1
Se10 Se 0.766 0.320 0.088 1
Se11 Se 0.886 0.692 0.561 1
Se12 Se 0.886 0.808 0.061 1
```

Output
- space group = P2_1/c, No. 14
- ΔE_f (raw) (meV per atom) = -1156

# 2
La2Tb2Sb2C | GGA-PBE | optimized geometry

Geometry as CIF:
```
data_La2Tb2Sb2C
_chemical_formula_sum 'La2 Tb2 Sb2 C1'
_cell_length_a 8.980
_cell_length_b 8.980
_cell_length_c 8.980
_cell_angle_alpha 148.57
_cell_angle_beta 148.57
_cell_angle_gamma 45.04
_symmetry_space_group_name_H-M 'P 1'
_symmetry_Int_Tables_number 1
_symmetry_space_group_name_Hall 'P 1'
loop_
_atom_site_label
_atom_site_type_symbol
_atom_site_fract_x
_atom_site_fract_y
_atom_site_fract_z
_atom_site_occupancy
La1 La 0.162 0.162 0.000 1
La2 La 0.838 0.838 0.000 1
Tb1 Tb 0.000 0.500 0.500 1
Tb2 Tb 0.500 0.000 0.500 1
Sb1 Sb 0.366 0.366 0.000 1
Sb2 Sb 0.634 0.634 0.000 1
C1 C 0.000 0.000 0.000 1
```

Output
- space group = I4/mmm, No. 139
- ΔE_f (raw) (meV per atom) = -877

# 3
BeTlIr2 | GGA-PBE | optimized geometry

Geometry as CIF:
```
data_BeTlIr2
_chemical_formula_sum 'Be1 Tl1 Ir2'
_cell_length_a 2.908
_cell_length_b 4.257
_cell_length_c 5.398
_cell_angle_alpha 90.00
_cell_angle_beta 105.60
_cell_angle_gamma 90.00
_symmetry_space_group_name_H-M 'P 1'
_symmetry_Int_Tables_number 1
_symmetry_space_group_name_Hall 'P 1'
loop_
_atom_site_label
_atom_site_type_symbol
_atom_site_fract_x
_atom_site_fract_y
_atom_site_fract_z
_atom_site_occupancy
Be1 Be 0.000 0.000 0.000 1
Tl1 Tl 0.339 0.500 0.675 1
Ir1 Ir 0.072 0.500 0.144 1
Ir2 Ir 0.674 0.000 0.348 1
```

Output
- space group = Pm, No. 6
- VASP energy (eV/cell) = -22.62

Computed size of the total moment, in the same sequence as the records: 10.0, 0.0, 0.0 μB/cell.